# La6TlAu2

A relaxed La6TlAu2 crystal (PBE, Alexandria).

Lattice parameters (Å, degrees): 9.145 9.145 9.145 104.51 109.95 114.10
Positions (direct):
1 La 0.534 0.716 0.818
2 La 0.466 0.284 0.182
3 La 0.102 0.284 0.818
4 La 0.898 0.716 0.182
5 La 0.805 0.759 0.564
6 La 0.195 0.241 0.436
7 La 0.195 0.759 0.954
8 La 0.805 0.241 0.046
9 La 0.703 0.376 0.673
10 La 0.297 0.624 0.327
11 La 0.297 0.970 0.673
12 La 0.703 0.030 0.327
13 Tl 0.000 0.500 0.500
14 Tl 0.000 0.000 0.000
15 Au 0.500 0.370 0.870
16 Au 0.500 0.630 0.130
17 Au 0.654 0.000 0.654
18 Au 0.346 0.000 0.346

* SG: Immm
* E_form: -438 meV/atom


# CaEu2Ag

A relaxed CaEu2Ag crystal (PBE, Alexandria).

Lattice parameters (Å, degrees): 5.419 4.930 4.930 90.00 90.00 90.00
Positions (direct):
1 Eu 0.000 0.000 0.500
2 Eu 0.000 0.500 0.000
3 Ca 0.500 0.500 0.500
4 Ag 0.500 0.000 0.000

* SG: P4/mmm
* E_form: -20 meV/atom
* energy relative to the lowest polymorph listed for this composition: 0.124 eV per atom


# YCd2Ru

A relaxed YCd2Ru crystal (PBE, Alexandria).

Lattice parameters (Å, degrees): 4.078 4.078 11.093 79.41 79.41 90.00
Positions (direct):
1 Y 0.500 0.500 0.000
2 Y 0.250 0.750 0.500
3 Ru 0.000 0.000 0.000
4 Ru 0.750 0.250 0.500
5 Cd 0.650 0.125 0.250
6 Cd 0.100 0.625 0.250
7 Cd 0.375 0.350 0.750
8 Cd 0.875 0.900 0.750

* SG: I-42d
* E_form: 151 meV/atom


# LiHg2MoW

A relaxed LiHg2MoW crystal (PBE, Alexandria).

Lattice parameters (Å, degrees): 5.284 4.887 5.284 90.00 90.00 90.00
Positions (direct):
1 Mo 0.500 0.500 0.500
2 Hg 0.000 0.000 0.500
3 Hg 0.500 0.000 0.000
4 W 0.000 0.000 0.000
5 Li 0.000 0.500 0.000

* SG: P4/mmm
* E_form: 1874 meV/atom


# In2PbIF

A relaxed In2PbIF crystal (PBE, Alexandria).

Lattice parameters (Å, degrees): 6.166 6.006 6.166 90.00 90.00 90.00
Positions (direct):
1 Pb 0.000 0.000 0.000
2 I 0.000 0.500 0.000
3 F 0.500 0.500 0.500
4 In 0.000 0.000 0.500
5 In 0.500 0.000 0.000

* SG: P4/mmm
* E: -2.65 eV per atom


# Hf2MgIn

A relaxed Hf2MgIn crystal (PBE, Alexandria).

Lattice parameters (Å, degrees): 8.034 8.034 6.366 50.87 50.87 90.00
Positions (direct):
1 Mg 0.500 0.500 0.000
2 Mg 0.250 0.750 0.500
3 Hf 0.628 0.125 0.250
4 Hf 0.122 0.625 0.250
5 Hf 0.375 0.372 0.750
6 Hf 0.875 0.878 0.750
7 In 0.000 0.000 0.000
8 In 0.750 0.250 0.500

* SG: I-42d
* E_form: 426 meV/atom


# CuBi2O4

A relaxed CuBi2O4 crystal (PBE, Alexandria).

Lattice parameters (Å, degrees): 6.859 6.859 6.859 146.42 146.42 48.23
Positions (direct):
1 Cu 0.000 0.000 0.000
2 Bi 0.648 0.648 0.000
3 Bi 0.352 0.352 0.000
4 O 0.750 0.250 0.500
5 O 0.250 0.750 0.500
6 O 0.500 0.000 0.500
7 O 0.000 0.500 0.500

* SG: I4/mmm
* energy relative to the lowest polymorph listed for this composition: 0.069 eV per atom


# GeHBr3

A relaxed GeHBr3 crystal (PBE, Alexandria).

Lattice parameters (Å, degrees): 5.271 5.271 5.271 90.00 90.00 90.00
Positions (direct):
1 H 0.500 0.500 0.500
2 Ge 0.000 0.000 0.000
3 Br 0.000 0.500 0.000
4 Br 0.000 0.000 0.500
5 Br 0.500 0.000 0.000

* SG: Pm-3m
* energy relative to the lowest polymorph listed for this composition: 0.660 eV per atom


# MnFeRh

A relaxed MnFeRh crystal (PBE, Alexandria).

Lattice parameters (Å, degrees): 6.644 6.431 2.610 83.13 73.91 22.96
Positions (direct):
1 Fe 0.004 0.004 0.996
2 Mn 0.663 0.663 0.337
3 Rh 0.333 0.333 0.667

* SG: Fmm2
* E_form: 156 meV/atom
* energy relative to the lowest polymorph listed for this composition: 0.147 eV per atom


# InBr2Cl

A relaxed InBr2Cl crystal (PBE, Alexandria).

Lattice parameters (Å, degrees): 13.143 5.180 3.896 90.00 90.00 90.00
Positions (direct):
1 Cl 0.500 0.500 0.000
2 Cl 0.000 0.000 0.500
3 Br 0.143 0.500 0.000
4 Br 0.857 0.500 0.000
5 Br 0.643 0.000 0.500
6 Br 0.357 0.000 0.500
7 In 0.000 0.500 0.500
8 In 0.500 0.000 0.000

* SG: Immm
* energy relative to the lowest polymorph listed for this composition: 0.065 eV per atom


# Sr2AuCl6

A relaxed Sr2AuCl6 crystal (PBE, Alexandria).

Lattice parameters (Å, degrees): 6.855 6.855 12.458 90.00 90.00 90.00
Positions (direct):
1 Sr 0.000 0.000 0.334
2 Sr 0.500 0.500 0.834
3 Sr 0.500 0.500 0.166
4 Sr 0.000 0.000 0.666
5 Au 0.000 0.000 0.000
6 Au 0.500 0.500 0.500
7 Cl 0.318 0.318 0.354
8 Cl 0.682 0.682 0.354
9 Cl 0.182 0.818 0.854
10 Cl 0.818 0.182 0.854
11 Cl 0.182 0.818 0.146
12 Cl 0.818 0.182 0.146
13 Cl 0.318 0.318 0.646
14 Cl 0.682 0.682 0.646
15 Cl 0.306 0.306 0.000
16 Cl 0.694 0.694 0.000
17 Cl 0.194 0.806 0.500
18 Cl 0.806 0.194 0.500

* SG: P4_2/mnm
* E: -3.59 eV per atom


# CaRhW

A relaxed CaRhW crystal (PBE, Alexandria).

Lattice parameters (Å, degrees): 4.475 4.475 4.475 60.00 60.00 60.00
Positions (direct):
1 Ca 0.500 0.500 0.500
2 Rh 0.750 0.750 0.750
3 W 0.000 0.000 0.000

* SG: F-43m
* E_form: 703 meV/atom
* energy relative to the lowest polymorph listed for this composition: 0.461 eV per atom


> Which formula does entry 11 have?

Sr2AuCl6